Record 1
Material: Tb2AgAu3
Method: DFT, PBE
State: optimized geometry

Computed properties:
As for the space group: P-3m1, No. 164. The density of states at the Fermi level is 3.8 states/eV/f.u. Its distance to the lowest polymorph of the same formula is 0.000 eV/f.u.

POSCAR file:
```
Tb2AgAu3
1.0
5.0064 0.0000 0.0000
-2.5032 4.3357 0.0000
0.0000 0.0000 12.0669
Tb Ag Au
4 2 6
Direct
0.0000 0.0000 0.0000
0.0000 0.0000 0.5000
0.3333 0.6667 0.1893
0.6667 0.3333 0.8107
0.3333 0.6667 0.6754
0.6667 0.3333 0.3246
0.0000 0.0000 0.2462
0.0000 0.0000 0.7538
0.3333 0.6667 0.4342
0.3333 0.6667 0.9303
0.6667 0.3333 0.0697
0.6667 0.3333 0.5658
```

=====

Record 2
Material: CuHgPd
Method: DFT, PBE
State: optimized geometry

Computed properties:
As for the space group: P3m1, No. 156. The density of states at the Fermi level is 1.2 states/eV/f.u. Its distance to the lowest polymorph of the same formula is 0.106 eV/f.u.

POSCAR file:
```
CuHgPd
1.0
4.4165 0.0000 0.0000
-2.2083 3.8248 0.0000
0.0000 0.0000 2.9093
Cu Hg Pd
1 1 1
Direct
0.0000 0.0000 0.0000
0.6667 0.3333 0.2912
0.3333 0.6667 0.7215
```

=====

Record 3
Material: CoOsBr
Method: DFT, PBE
State: optimized geometry

Computed properties:
The formation energy (no corrections) comes out at 352 kJ/mol of formula units. As for the space group: F-43m, No. 216. The density of states at the Fermi level is 2.3 states/eV/f.u. Its distance to the lowest polymorph of the same formula is 2.724 eV/f.u.

POSCAR file:
```
CoOsBr
1.0
5.8814 0.0000 0.0000
0.0000 5.8814 0.0000
0.0000 0.0000 5.8814
Co Os Br
4 4 4
Direct
0.0000 0.0000 0.0000
0.0000 0.5000 0.5000
0.5000 0.0000 0.5000
0.5000 0.5000 0.0000
0.2500 0.2500 0.2500
0.2500 0.7500 0.7500
0.7500 0.2500 0.7500
0.7500 0.7500 0.2500
0.0000 0.0000 0.5000
0.0000 0.5000 0.0000
0.5000 0.0000 0.0000
0.5000 0.5000 0.5000
```

=====

Record 4
Material: ZrSc2O
Method: DFT, PBE
State: optimized geometry

Computed properties:
The formation energy (no corrections) comes out at -382 kJ/mol of formula units. As for the space group: P4/mmm, No. 123. The density of states at the Fermi level is 4.1 states/eV/f.u.

POSCAR file:
```
ZrSc2O
1.0
2.9394 0.0000 0.0000
0.0000 2.9394 0.0000
0.0000 0.0000 7.8702
Zr Sc O
1 2 1
Direct
0.0000 0.0000 0.0000
0.5000 0.5000 0.3188
0.5000 0.5000 0.6812
0.0000 0.0000 0.5000
```

=====

Record 5
Material: NaCaSb2
Method: DFT, PBE
State: optimized geometry

Computed properties:
The formation energy (no corrections) comes out at -128 kJ/mol of formula units. As for the space group: I-42d, No. 122. The density of states at the Fermi level is 4.2 states/eV/f.u. Its distance to the lowest polymorph of the same formula is 1.009 eV/f.u.

POSCAR file:
```
NaCaSb2
1.0
8.6045 0.0000 0.0000
0.0000 8.6045 0.0000
0.0000 0.0000 6.3990
Na Ca Sb
4 4 8
Direct
0.0000 0.0000 0.0000
0.0000 0.5000 0.2500
0.5000 0.0000 0.7500
0.5000 0.5000 0.5000
0.0000 0.0000 0.5000
0.0000 0.5000 0.7500
0.5000 0.0000 0.2500
0.5000 0.5000 0.0000
0.2416 0.7500 0.1250
0.2500 0.2416 0.8750
0.2500 0.2584 0.3750
0.2584 0.7500 0.6250
0.7416 0.2500 0.6250
0.7500 0.7416 0.3750
0.7500 0.7584 0.8750
0.7584 0.2500 0.1250
```

=====

Record 6
Material: BeTlW2
Method: DFT, PBE
State: optimized geometry

Computed properties:
As for the space group: Imm2, No. 44. The density of states at the Fermi level is 1.8 states/eV/f.u. Its distance to the lowest polymorph of the same formula is 1.103 eV/f.u.

POSCAR file:
```
BeTlW2
1.0
3.4165 0.0000 0.0000
0.0000 4.5297 0.0000
0.0000 0.0000 8.2370
Be Tl W
2 2 4
Direct
0.0000 0.0000 0.0000
0.5000 0.5000 0.5000
0.0000 0.5000 0.7335
0.5000 0.0000 0.2335
0.0000 0.0000 0.5140
0.0000 0.5000 0.2682
0.5000 0.0000 0.7682
0.5000 0.5000 0.0140
```

=====

Record 7
Material: Er4ZnAu3
Method: DFT, PBE
State: optimized geometry

Computed properties:
As for the space group: P4/mmm, No. 123. The density of states at the Fermi level is 4.8 states/eV/f.u. Its distance to the lowest polymorph of the same formula is 0.000 eV/f.u.

POSCAR file:
```
Er4ZnAu3
1.0
3.5684 0.0000 0.0000
0.0000 3.5684 0.0000
0.0000 0.0000 14.1644
Er Zn Au
4 1 3
Direct
0.0000 0.0000 0.1228
0.0000 0.0000 0.3734
0.0000 0.0000 0.6266
0.0000 0.0000 0.8772
0.5000 0.5000 0.0000
0.5000 0.5000 0.2445
0.5000 0.5000 0.5000
0.5000 0.5000 0.7555
```

=====

Record 8
Material: InPb6
Method: DFT, PBE
State: optimized geometry

Computed properties:
As for the space group: R-3m, No. 166. The density of states at the Fermi level is 4.5 states/eV/f.u. Its distance to the lowest polymorph of the same formula is 0.000 eV/f.u.

POSCAR file:
```
InPb6
1.0
2.8416 1.6406 7.7893
-2.8416 1.6406 7.7893
0.0000 -3.2812 7.7893
In Pb
1 6
Direct
0.0000 0.0000 0.0000
0.1372 0.1372 0.1372
0.2814 0.2814 0.2814
0.4263 0.4263 0.4263
0.5737 0.5737 0.5737
0.7186 0.7186 0.7186
0.8628 0.8628 0.8628
```

=====

Record 9
Material: YHBr2
Method: DFT, PBE
State: optimized geometry

Computed properties:
As for the space group: R-3m, No. 166. The density of states at the Fermi level is 0.8 states/eV/f.u. Its total energy is -3.938 eV/atom.

POSCAR file:
```
YHBr2
1.0
3.8507 0.0000 0.0000
-1.9253 3.3348 0.0000
0.0000 0.0000 23.5778
Y H Br
3 3 6
Direct
0.0000 0.0000 0.0000
0.3333 0.6667 0.6667
0.6667 0.3333 0.3333
0.0000 0.0000 0.5000
0.3333 0.6667 0.1667
0.6667 0.3333 0.8333
0.0000 0.0000 0.4128
0.0000 0.0000 0.5872
0.3333 0.6667 0.0794
0.3333 0.6667 0.2539
0.6667 0.3333 0.7461
0.6667 0.3333 0.9206
```

=====

Record 10
Material: Tb2Ta2Ni15
Method: DFT, PBE
State: optimized geometry

Computed properties:
As for the space group: R-3m, No. 166. The density of states at the Fermi level is 26.7 states/eV/f.u. Its total energy is -6.562 eV/atom.

POSCAR file:
```
Tb2Ta2Ni15
1.0
4.1847 2.4161 4.1673
-4.1847 2.4161 4.1673
0.0000 -4.8321 4.1673
Tb Ta Ni
2 2 15
Direct
0.1494 0.1494 0.1494
0.8506 0.8506 0.8506
0.3968 0.3968 0.3968
0.6032 0.6032 0.6032
0.0000 0.5000 0.5000
0.1552 0.1552 0.6562
0.1552 0.6562 0.1552
0.2011 0.5000 0.7989
0.2011 0.7989 0.5000
0.3438 0.8448 0.8448
0.5000 0.0000 0.5000
0.5000 0.2011 0.7989
0.5000 0.5000 0.0000
0.5000 0.7989 0.2011
0.6562 0.1552 0.1552
0.7989 0.2011 0.5000
0.7989 0.5000 0.2011
0.8448 0.3438 0.8448
0.8448 0.8448 0.3438
```

=====

Record 11
Material: Tb7Pr3
Method: DFT, PBE
State: optimized geometry

Computed properties:
As for the space group: C2/m, No. 12. The density of states at the Fermi level is 14.0 states/eV/f.u. Its distance to the lowest polymorph of the same formula is 0.000 eV/f.u.

POSCAR file:
```
Tb7Pr3
1.0
9.2018 -2.5510 0.0000
9.2018 2.5510 0.0000
-1.4432 0.0000 7.0616
Tb Pr
7 3
Direct
0.0000 0.0000 0.0000
0.1999 0.1999 0.5999
0.3999 0.3999 0.6987
0.4009 0.4009 0.2001
0.5991 0.5991 0.7999
0.6001 0.6001 0.3013
0.8001 0.8001 0.4001
0.0000 0.0000 0.5000
0.1990 0.1990 0.1009
0.8010 0.8010 0.8991
```

=====

Record 12
Material: AlVCr2Sn
Method: DFT, PBE
State: optimized geometry

Computed properties:
As for the space group: P4/mmm, No. 123. The density of states at the Fermi level is 3.7 states/eV/f.u. Its total energy is -6.221 eV/atom.

POSCAR file:
```
AlVCr2Sn
1.0
4.5282 0.0000 0.0000
0.0000 4.5282 0.0000
0.0000 0.0000 4.6219
Al V Cr Sn
1 1 2 1
Direct
0.0000 0.0000 0.0000
0.0000 0.0000 0.5000
0.0000 0.5000 0.0000
0.5000 0.0000 0.0000
0.5000 0.5000 0.5000
```

=====

Record 13
Material: Ba2AcThBi4
Method: DFT, PBE
State: optimized geometry

Computed properties:
As for the space group: P2/m, No. 10. The density of states at the Fermi level is 7.4 states/eV/f.u. Its total energy is -4.682 eV/atom.

POSCAR file:
```
Ba2AcThBi4
1.0
8.4392 0.0000 0.0000
0.0000 4.8553 0.0000
-2.7967 0.0000 8.1942
Ba Ac Th Bi
2 1 1 4
Direct
0.0000 0.0000 0.0000
0.5000 0.5000 0.0000
0.0000 0.5000 0.5000
0.5000 0.0000 0.5000
0.2550 0.0000 0.7279
0.2710 0.5000 0.2783
0.7290 0.5000 0.7217
0.7450 0.0000 0.2721
```

=====

Record 14
Material: Dy2BiAu
Method: DFT, PBE
State: optimized geometry

Computed properties:
As for the space group: R-3m, No. 166. The density of states at the Fermi level is 2.8 states/eV/f.u. Its total energy is -4.803 eV/atom.

POSCAR file:
```
Dy2BiAu
1.0
4.3727 0.0000 0.0000
-2.1863 3.7869 0.0000
0.0000 0.0000 21.0886
Dy Bi Au
6 3 3
Direct
0.0000 0.0000 0.2423
0.0000 0.0000 0.7577
0.3333 0.6667 0.4244
0.3333 0.6667 0.9090
0.6667 0.3333 0.0910
0.6667 0.3333 0.5756
0.0000 0.0000 0.0000
0.3333 0.6667 0.6667
0.6667 0.3333 0.3333
0.0000 0.0000 0.5000
0.3333 0.6667 0.1667
0.6667 0.3333 0.8333
```

=====

Record 15
Material: AlCrP
Method: DFT, PBE
State: optimized geometry

Computed properties:
As for the space group: C2/m, No. 12. The density of states at the Fermi level is 1.8 states/eV/f.u. Its distance to the lowest polymorph of the same formula is 1.175 eV/f.u.

POSCAR file:
```
AlCrP
1.0
9.3856 0.0000 0.0000
0.0000 2.9646 0.0000
-4.6637 0.0000 6.4722
Al Cr P
4 4 4
Direct
0.0314 0.0000 0.2553
0.4686 0.5000 0.7447
0.5314 0.5000 0.2553
0.9686 0.0000 0.7447
0.2485 0.0000 0.1161
0.2515 0.5000 0.8839
0.7485 0.5000 0.1161
0.7515 0.0000 0.8839
0.2030 0.0000 0.6388
0.2970 0.5000 0.3612
0.7030 0.5000 0.6388
0.7970 0.0000 0.3612
```

=====

Record 16
Material: Y4Ta
Method: DFT, PBE
State: optimized geometry

Computed properties:
As for the space group: I4/mmm, No. 139. The density of states at the Fermi level is 4.9 states/eV/f.u. Its distance to the lowest polymorph of the same formula is 1.313 eV/f.u.

POSCAR file:
```
Y4Ta
1.0
4.2132 0.0000 0.0000
0.0000 4.2132 0.0000
0.0000 0.0000 17.1266
Y Ta
8 2
Direct
0.0000 0.0000 0.0867
0.0000 0.0000 0.9133
0.0000 0.5000 0.2500
0.0000 0.5000 0.7500
0.5000 0.0000 0.2500
0.5000 0.0000 0.7500
0.5000 0.5000 0.4133
0.5000 0.5000 0.5867
0.0000 0.0000 0.5000
0.5000 0.5000 0.0000
```

=====

Record 17
Material: Co2Hg
Method: DFT, PBE
State: optimized geometry

Computed properties:
As for the space group: C2/m, No. 12. The density of states at the Fermi level is 2.7 states/eV/f.u. Its total energy is -4.497 eV/atom.

POSCAR file:
```
Co2Hg
1.0
10.3621 0.0000 0.0000
0.0000 2.7553 0.0000
-2.2473 0.0000 6.1154
Co Hg
8 4
Direct
0.0271 0.0000 0.2036
0.1549 0.5000 0.0334
0.3451 0.0000 0.9666
0.4729 0.5000 0.7964
0.5271 0.5000 0.2036
0.6549 0.0000 0.0334
0.8451 0.5000 0.9666
0.9729 0.0000 0.7964
0.1560 0.5000 0.6126
0.3440 0.0000 0.3874
0.6560 0.0000 0.6126
0.8440 0.5000 0.3874
```

=====

Record 18
Material: RbBeSi
Method: DFT, PBE
State: optimized geometry

Computed properties:
The formation energy (no corrections) comes out at 45 kJ/mol of formula units. As for the space group: P-1, No. 2. The density of states at the Fermi level is 0.8 states/eV/f.u. Its distance to the lowest polymorph of the same formula is 0.165 eV/f.u.

POSCAR file:
```
RbBeSi
1.0
3.8582 0.0000 0.0000
1.9266 3.7011 0.0000
0.0719 1.7981 11.8983
Rb Be Si
2 2 2
Direct
0.1866 0.1152 0.3001
0.8134 0.8848 0.6999
0.2376 0.0264 0.9425
0.7624 0.9736 0.0575
0.4517 0.5931 0.0920
0.5483 0.4069 0.9080
```

=====

Record 19
Material: Be2FeAs
Method: DFT, PBE
State: optimized geometry

Computed properties:
As for the space group: P4/mmm, No. 123. The density of states at the Fermi level is 2.6 states/eV/f.u. Its distance to the lowest polymorph of the same formula is 0.263 eV/f.u.

POSCAR file:
```
Be2FeAs
1.0
3.5435 0.0000 0.0000
0.0000 3.5435 0.0000
0.0000 0.0000 3.3249
Be Fe As
2 1 1
Direct
0.0000 0.5000 0.0000
0.5000 0.0000 0.0000
0.0000 0.0000 0.5000
0.5000 0.5000 0.5000
```

=====

Record 20
Material: ThScSn2
Method: DFT, PBE
State: optimized geometry

Computed properties:
As for the space group: P4/mmm, No. 123. The density of states at the Fermi level is 2.9 states/eV/f.u. Its distance to the lowest polymorph of the same formula is 0.087 eV/f.u.

POSCAR file:
```
ThScSn2
1.0
3.4368 0.0000 0.0000
0.0000 3.4368 0.0000
0.0000 0.0000 8.7430
Th Sc Sn
1 1 2
Direct
0.0000 0.0000 0.0000
0.0000 0.0000 0.5000
0.5000 0.5000 0.2700
0.5000 0.5000 0.7300
```

=====

Record 21
Material: Li2Mg3Tl3Cd
Method: DFT, PBE
State: optimized geometry

Computed properties:
As for the space group: P-62m, No. 189. The density of states at the Fermi level is 2.5 states/eV/f.u. Its total energy is -1.946 eV/atom.

POSCAR file:
```
Li2Mg3Tl3Cd
1.0
8.4854 0.0000 0.0000
-4.2427 7.3486 0.0000
0.0000 0.0000 3.2598
Li Mg Tl Cd
2 3 3 1
Direct
0.3333 0.6667 0.0000
0.6667 0.3333 0.0000
0.0000 0.7063 0.0000
0.2937 0.2937 0.0000
0.7063 0.0000 0.0000
0.0000 0.3797 0.5000
0.3797 0.0000 0.5000
0.6203 0.6203 0.5000
0.0000 0.0000 0.5000
```

=====

Record 22
Material: CoTc2Hg
Method: DFT, PBE
State: optimized geometry

Computed properties:
As for the space group: Cmmm, No. 65. The density of states at the Fermi level is 4.6 states/eV/f.u. Its total energy is -6.419 eV/atom.

POSCAR file:
```
CoTc2Hg
1.0
5.2131 0.0000 0.0000
0.0000 8.2414 0.0000
0.0000 0.0000 2.8128
Co Tc Hg
2 4 2
Direct
0.0000 0.0000 0.0000
0.5000 0.5000 0.0000
0.2500 0.2500 0.5000
0.2500 0.7500 0.5000
0.7500 0.2500 0.5000
0.7500 0.7500 0.5000
0.0000 0.5000 0.0000
0.5000 0.0000 0.0000
```

=====

Record 23
Material: AcThGe2
Method: DFT, PBE
State: optimized geometry

Computed properties:
As for the space group: R-3m, No. 166. The density of states at the Fermi level is 3.5 states/eV/f.u. Its total energy is -5.846 eV/atom.

POSCAR file:
```
AcThGe2
1.0
4.4249 0.0000 0.0000
-2.2124 3.8320 0.0000
0.0000 0.0000 21.9312
Ac Th Ge
3 3 6
Direct
0.0000 0.0000 0.0000
0.3333 0.6667 0.6667
0.6667 0.3333 0.3333
0.0000 0.0000 0.5000
0.3333 0.6667 0.1667
0.6667 0.3333 0.8333
0.0000 0.0000 0.2425
0.0000 0.0000 0.7575
0.3333 0.6667 0.4241
0.3333 0.6667 0.9092
0.6667 0.3333 0.0908
0.6667 0.3333 0.5759
```

=====

Record 24
Material: Zr3BeP
Method: DFT, PBE
State: optimized geometry

Computed properties:
As for the space group: C2/m, No. 12. The density of states at the Fermi level is 5.0 states/eV/f.u. Its distance to the lowest polymorph of the same formula is 0.000 eV/f.u.

POSCAR file:
```
Zr3BeP
1.0
9.4725 -1.7854 0.0000
9.4725 1.7854 0.0000
-0.7475 0.0000 5.3630
Zr Be P
6 2 2
Direct
0.0016 0.0016 0.2515
0.1888 0.1888 0.5931
0.3687 0.3687 0.9327
0.6313 0.6313 0.0673
0.8112 0.8112 0.4069
0.9984 0.9984 0.7485
0.2356 0.2356 0.1025
0.7644 0.7644 0.8975
0.4132 0.4132 0.4539
0.5868 0.5868 0.5461
```

=====

Record 25
Material: NaLa3Ir8
Method: DFT, PBE
State: optimized geometry

Computed properties:
As for the space group: R3m, No. 160. The density of states at the Fermi level is 14.7 states/eV/f.u. Its total energy is -7.773 eV/atom.

POSCAR file:
```
NaLa3Ir8
1.0
2.7175 1.5689 8.8791
-2.7175 1.5689 8.8791
0.0000 -3.1379 8.8791
Na La Ir
1 3 8
Direct
0.0000 0.0000 0.0000
0.1213 0.1213 0.1213
0.5020 0.5020 0.5020
0.6304 0.6304 0.6304
0.0636 0.0636 0.5656
0.0642 0.5630 0.5630
0.0636 0.5656 0.0636
0.3138 0.3138 0.3138
0.5630 0.0642 0.5630
0.5630 0.5630 0.0642
0.5656 0.0636 0.0636
0.8137 0.8137 0.8137
```

=====

Record 26
Material: BC2
Method: DFT, PBE
State: optimized geometry

Computed properties:
As for the space group: Cm, No. 8. The density of states at the Fermi level is 0.4 states/eV/f.u. Its distance to the lowest polymorph of the same formula is 0.242 eV/f.u.

POSCAR file:
```
BC2
1.0
6.6450 -1.2720 0.0000
6.6450 1.2720 0.0000
-1.2717 0.0000 4.5399
B C
4 8
Direct
0.0000 0.0000 0.0000
0.0552 0.0552 0.6466
0.6777 0.6777 0.2799
0.8456 0.8456 0.1214
0.1812 0.1812 0.7945
0.2247 0.2247 0.5174
0.3451 0.3451 0.6190
0.3891 0.3891 0.3472
0.5056 0.5056 0.4491
0.5525 0.5525 0.1874
0.7186 0.7186 0.9788
0.8855 0.8855 0.7992
```